First-principles (PBE) data for Cd2TcP2 after structural relaxation, as listed in Alexandria.

Output
energy of formation from the pure elements	-11	meV/atom
DOS at the Fermi energy	4.50	states/eV per cell
V	175.06	Å³ per cell

abc: 6.092 6.092 4.717
angles: 90.00 90.00 90.00
Space group P4/mbm (No. 127)
Asymmetric unit:
Cd (0.196, 0.304, 0.000) [4 per cell]
Tc (0.000, 0.000, 0.500) [2 per cell]
P (0.132, 0.632, 0.500) [4 per cell]

First-principles (PBE) data for CdTc2P after structural relaxation, as listed in Alexandria.

Output
energy of formation from the pure elements	38	meV/atom
DOS at the Fermi energy	1.60	states/eV per cell
V	63.47	Å³ per cell
energy above the most stable polymorph in this dataset	0.108	eV per atom

abc: 3.022 3.022 6.948
angles: 90.00 90.00 90.00
Space group P4mm (No. 99)
Asymmetric unit:
Cd (0.000, 0.000, 0.000) [1 per cell]
Tc (0.000, 0.000, 0.472) [1 per cell]
Tc (0.500, 0.500, 0.715) [1 per cell]
P (0.500, 0.500, 0.304) [1 per cell]

First-principles (PBE) data for CdTc2P2 after structural relaxation, as listed in Alexandria.

Output
energy of formation from the pure elements	-86	meV/atom
DOS at the Fermi energy	7.67	states/eV per cell
V	149.74	Å³ per cell
energy above the most stable polymorph in this dataset	0.085	eV per atom

abc: 7.078 7.078 2.989
angles: 90.00 90.00 90.00
Space group P4/mbm (No. 127)
Asymmetric unit:
Cd (0.000, 0.000, 0.000) [2 per cell]
Tc (0.144, 0.356, 0.000) [4 per cell]
P (0.141, 0.641, 0.500) [4 per cell]

Q: What is the energy of formation from the pure elements in the first record?
A: -11 meV/atom

Q: The lowest DOS at the Fermi energy belongs to which entry?
A: CdTc2P